# 1
RbInPb: relaxed, PBE.

```
6
Lattice="3.684 -4.926 0.000 3.684 4.926 0.000 0.000 0.000 7.066" Properties=species:S:1:pos:R:3 pbc="T T T"
Rb 3.684 3.642 5.300
Rb 3.684 -3.642 1.767
In 3.684 0.000 0.000
In 3.684 0.000 3.533
Pb 3.684 2.322 1.767
Pb 3.684 -2.322 5.300
```

Symmetry: Cmcm
Formation energy, kJ/mol of atoms: 3


# 2
CsK2SrAg: relaxed, PBE.

```
5
Lattice="6.900 0.000 0.000 0.000 6.900 0.000 0.000 0.000 6.437" Properties=species:S:1:pos:R:3 pbc="T T T"
Cs 0.000 0.000 0.000
K 0.000 3.450 3.218
K 3.450 0.000 3.218
Sr 3.450 3.450 0.000
Ag 3.450 3.450 3.218
```

Symmetry: P4/mmm
Formation energy, kJ/mol of atoms: 6


# 3
NaMg2Mo: relaxed, PBE.

```
8
Lattice="-3.874 3.874 3.039 3.874 -3.874 3.039 3.874 3.874 -3.039" Properties=species:S:1:pos:R:3 pbc="T T T"
Na 0.000 0.000 0.000
Na 0.000 3.874 1.520
Mg 1.937 -1.867 2.279
Mg 2.007 1.937 0.760
Mg 1.937 5.741 -0.760
Mg 1.867 1.937 3.799
Mo 3.874 0.000 1.520
Mo 0.000 0.000 3.039
```

Symmetry: I-42d
Offset from the most stable computed form, meV per atom: 289
Formation energy, kJ/mol of atoms: 92


# 4
CdTcAuCl2: relaxed, PBE.

```
5
Lattice="4.882 0.000 0.000 0.000 4.882 0.000 0.000 0.000 6.093" Properties=species:S:1:pos:R:3 pbc="T T T"
Cd 0.000 0.000 0.000
Tc 0.000 0.000 3.046
Au 2.441 2.441 3.046
Cl 0.000 2.441 0.000
Cl 2.441 0.000 0.000
```

Energy relative to the elements, uncorrected, meV per atom: 813.4
Symmetry: P4/mmm


| no. | DOS at the Fermi energy (states/eV per cell) |
| --- | --- |
| 1 | 2.01 |
| 2 | 4.09 |
| 3 | 2.60 |
| 4 | 1.56 |